No. 1
Sr2ScPt2O6 | PBE | optimized geometry

The space group is R-3m (No. 166, hexagonal axes) and the conventional cell measures 6.0311, 6.0311 and 16.5943 Å, with angles of 90.00, 90.00 and 120.00 degrees. The distinct sites, in fractional coordinates, are Sr at (0.0000, 0.0000, 0.2127), Sc at (0.0000, 0.0000, 0.0000), Pt at (0.0000, 0.0000, 0.4095) and O at (0.0408, 0.5204, 0.7542).

The value obtained for the uncorrected formation energy is -1.665 eV per atom.

No. 2
CsAlGa2 | PBE | optimized geometry

The space group is I4_1/amd (No. 141, origin choice 2) and the conventional cell measures 5.690, 5.690 and 17.261 Å, with angles of 90.00, 90.00 and 90.00 degrees. The distinct sites, in fractional coordinates, are Cs at (0.000, 0.250, 0.375), Al at (0.000, 0.250, 0.875) and Ga at (0.000, 0.000, 0.000).

The value obtained for the energy relative to the elements is 0.140 eV per atom.

No. 3
Sr2Sn3AsPd4 | PBE | optimized geometry

The space group is P-4m2 (No. 115) and the conventional cell measures 4.654, 4.654 and 10.717 Å, with angles of 90.00, 90.00 and 90.00 degrees. The distinct sites, in fractional coordinates, are Sr at (0.000, 0.500, 0.246), Sn at (0.000, 0.000, 0.000), Sn at (0.000, 0.500, 0.624), As at (0.500, 0.500, 0.000), Pd at (0.000, 0.000, 0.500), Pd at (0.000, 0.500, 0.875) and Pd at (0.500, 0.500, 0.500).

The value obtained for the energy relative to the elements is -0.706 eV per atom.

No. 4
SrSc2AsN | PBE | optimized geometry

The space group is P4/mmm (No. 123) and the conventional cell measures 5.172, 5.172 and 4.573 Å, with angles of 90.00, 90.00 and 90.00 degrees. The distinct sites, in fractional coordinates, are Sr at (0.000, 0.000, 0.000), Sc at (0.000, 0.500, 0.500), As at (0.500, 0.500, 0.500) and N at (0.500, 0.500, 0.000).

The value obtained for the uncorrected formation energy is 0.548 eV per atom.

No. 5
ScTaTc2Sn | PBE | optimized geometry

The space group is P4/mmm (No. 123) and the conventional cell measures 4.617, 4.617 and 4.864 Å, with angles of 90.00, 90.00 and 90.00 degrees. The distinct sites, in fractional coordinates, are Sc at (0.000, 0.000, 0.000), Ta at (0.000, 0.000, 0.500), Tc at (0.000, 0.500, 0.000) and Sn at (0.500, 0.500, 0.500).

The value obtained for the energy relative to the elements is 1.555 eV per atom.

No. 6
BeZn2BiN | PBE | optimized geometry

The space group is P4/mmm (No. 123) and the conventional cell measures 5.114, 5.114 and 3.140 Å, with angles of 90.00, 90.00 and 90.00 degrees. The distinct sites, in fractional coordinates, are Be at (0.000, 0.000, 0.000), Zn at (0.000, 0.500, 0.500), Bi at (0.500, 0.500, 0.000) and N at (0.000, 0.000, 0.500).

The value obtained for the uncorrected formation energy is 0.079 eV per atom.

No. 7
CdOs | PBE | optimized geometry

The space group is R-3m (No. 166, hexagonal axes) and the conventional cell measures 2.8388, 2.8388 and 29.6432 Å, with angles of 90.00, 90.00 and 120.00 degrees. The distinct sites, in fractional coordinates, are Cd at (0.0000, 0.0000, 0.1183) and Os at (0.0000, 0.0000, 0.3674).

The value obtained for the energy relative to the elements is 0.329 eV per atom.

No. 8
AcSc3 | PBE | optimized geometry

The space group is Imm2 (No. 44) and the conventional cell measures 3.636, 10.884 and 5.802 Å, with angles of 90.00, 90.00 and 90.00 degrees. The distinct sites, in fractional coordinates, are Ac at (0.000, 0.000, 0.000), Sc at (0.000, 0.237, 0.388) and Sc at (0.000, 0.500, 0.013).

The value obtained for the energy relative to the elements is 0.128 eV per atom.

No. 9
KB2As2 | PBE | optimized geometry

The space group is P4/mbm (No. 127) and the conventional cell measures 8.005, 8.005 and 3.130 Å, with angles of 90.00, 90.00 and 90.00 degrees. The distinct sites, in fractional coordinates, are K at (0.000, 0.000, 0.000), B at (0.078, 0.422, 0.500) and As at (0.122, 0.622, 0.000).

The value obtained for the energy relative to the elements is 0.777 eV per atom.

No. 10
HoEr3Pd | PBE | optimized geometry

The space group is C2/m (No. 12) and the conventional cell measures 11.446, 8.412 and 7.832 Å, with angles of 90.00, 128.64 and 90.00 degrees. The distinct sites, in fractional coordinates, are Ho at (0.074, 0.000, 0.275), Er at (0.040, 0.500, 0.313), Er at (0.209, 0.199, 0.742) and Pd at (0.232, 0.000, 0.083).

The value obtained for the energy relative to the elements is -0.272 eV per atom.

No. 11
AcPmAu | PBE | optimized geometry

The space group is P3m1 (No. 156) and the conventional cell measures 5.0339, 5.0339 and 4.5095 Å, with angles of 90.00, 90.00 and 120.00 degrees. The distinct sites, in fractional coordinates, are Ac at (0.0000, 0.0000, 0.0000), Pm at (0.3333, 0.6667, 0.5079) and Au at (0.6667, 0.3333, 0.4356).

The value obtained for the energy relative to the elements is -0.375 eV per atom.

No. 12
ScSiRu | PBE | optimized geometry

The space group is P3m1 (No. 156) and the conventional cell measures 3.3450, 3.3450 and 5.3761 Å, with angles of 90.00, 90.00 and 120.00 degrees. The distinct sites, in fractional coordinates, are Sc at (0.0000, 0.0000, 0.0000), Si at (0.3333, 0.6667, 0.3636) and Ru at (0.6667, 0.3333, 0.6093).

The value obtained for the uncorrected formation energy is -0.344 eV per atom.

No. 13
ZnP2N4 | PBE | optimized geometry

The space group is P-42m (No. 111) and the conventional cell measures 3.914, 3.914 and 4.823 Å, with angles of 90.00, 90.00 and 90.00 degrees. The distinct sites, in fractional coordinates, are Zn at (0.000, 0.000, 0.000), P at (0.000, 0.500, 0.500) and N at (0.253, 0.253, 0.306).

The value obtained for the uncorrected formation energy is -0.211 eV per atom.

No. 14
MnAlAg2 | PBE | optimized geometry

The space group is P4/mmm (No. 123) and the conventional cell measures 4.045, 4.045 and 4.025 Å, with angles of 90.00, 90.00 and 90.00 degrees. The distinct sites, in fractional coordinates, are Mn at (0.000, 0.000, 0.000), Al at (0.500, 0.500, 0.000) and Ag at (0.000, 0.500, 0.500).

The value obtained for the energy relative to the elements is 0.087 eV per atom.

No. 15
MgScTa | PBE | optimized geometry

The space group is P-1 (No. 2) and the conventional cell measures 2.992, 3.006 and 14.676 Å, with angles of 87.84, 87.84 and 74.66 degrees. The distinct sites, in fractional coordinates, are Mg at (0.237, 0.234, 0.087), Sc at (0.287, 0.290, 0.732) and Ta at (0.234, 0.233, 0.426).

The value obtained for the energy relative to the elements is 0.060 eV per atom.

No. 16
CsErBi2 | PBE | optimized geometry

The space group is R-3m (No. 166, hexagonal axes) and the conventional cell measures 4.8628, 4.8628 and 25.5483 Å, with angles of 90.00, 90.00 and 120.00 degrees. The distinct sites, in fractional coordinates, are Cs at (0.0000, 0.0000, 0.0000), Er at (0.0000, 0.0000, 0.5000) and Bi at (0.0000, 0.0000, 0.2220).

The value obtained for the energy relative to the elements is -0.362 eV per atom.

No. 17
Sr2Li12CaCd3 | PBE | optimized geometry

The space group is R-3m (No. 166, hexagonal axes) and the conventional cell measures 8.7686, 8.7686 and 23.9599 Å, with angles of 90.00, 90.00 and 120.00 degrees. The distinct sites, in fractional coordinates, are Sr at (0.0000, 0.0000, 0.0873), Li at (0.0878, 0.5439, 0.8833), Li at (0.0951, 0.5476, 0.2759), Ca at (0.0000, 0.0000, 0.5000) and Cd at (0.0000, 0.5000, 0.0000).

The value obtained for the energy relative to the elements is 0.143 eV per atom.

No. 18
TbCeIN2 | PBE | optimized geometry

The space group is P2_1/m (No. 11) and the conventional cell measures 7.338, 4.191 and 8.057 Å, with angles of 90.00, 106.99 and 90.00 degrees. The distinct sites, in fractional coordinates, are Tb at (0.138, 0.250, 0.413), Ce at (0.141, 0.250, 0.909), I at (0.466, 0.750, 0.254), N at (0.000, 0.250, 0.632) and N at (0.018, 0.750, 0.886).

The value obtained for the uncorrected formation energy is -1.546 eV per atom.

No. 19
Ba6IrO2 | PBE | optimized geometry

The space group is C2/m (No. 12) and the conventional cell measures 15.059, 4.482 and 12.277 Å, with angles of 90.00, 96.21 and 90.00 degrees. The distinct sites, in fractional coordinates, are Ba at (0.103, 0.000, 0.242), Ba at (0.121, 0.500, 0.933), Ba at (0.181, 0.000, 0.588), Ir at (0.000, 0.000, 0.000) and O at (0.229, 0.000, 0.395).

The value obtained for the uncorrected formation energy is -1.114 eV per atom.

No. 20
Na5Cd2Sn | PBE | optimized geometry

The space group is P6_3/mmc (No. 194) and the conventional cell measures 5.4558, 5.4558 and 19.8545 Å, with angles of 90.00, 90.00 and 120.00 degrees. The distinct sites, in fractional coordinates, are Na at (0.0000, 0.0000, 0.1653), Na at (0.3333, 0.6667, 0.0519), Na at (0.3333, 0.6667, 0.2500), Cd at (0.3333, 0.6667, 0.6073) and Sn at (0.3333, 0.6667, 0.7500).

The value obtained for the energy relative to the elements is -0.073 eV per atom.

| no. | E (eV per atom) |
| --- | --- |
| 1 | -6.349 |
| 2 | -2.523 |
| 3 | -4.786 |
| 4 | -4.916 |
| 5 | -7.029 |
| 6 | -3.617 |
| 7 | -5.744 |
| 8 | -5.648 |
| 9 | -3.974 |
| 10 | -4.964 |
| 11 | -4.421 |
| 12 | -7.354 |
| 13 | -6.696 |
| 14 | -4.567 |
| 15 | -6.533 |
| 16 | -3.656 |
| 17 | -1.583 |
| 18 | -7.299 |
| 19 | -4.482 |
| 20 | -1.627 |